Run one
This record from Alexandria describes an optimized crystal structure of ScMnP2. The functional is PBE.

abc: 5.5410 5.5410 11.2984
angles: 90.00 90.00 90.00
With the nearest neighbours (Å) after each atom.
Space group I-42d (No. 122)
One atom of each set of equivalent atoms:
Sc: 0.0000 0.0000 0.0000 (multiplicity 4)  4 P 2.58
Mn: 0.0000 0.0000 0.5000 (multiplicity 4)  4 P 2.27
P: 0.2023 0.2500 0.6250 (multiplicity 8)  2 Mn 2.27

***

Run two
This record from Alexandria describes an optimized crystal structure of ScMnP2. The functional is PBE.

abc: 2.9309 3.3732 11.9509
angles: 90.00 90.00 90.00
With the nearest neighbours (Å) after each atom.
Space group Imm2 (No. 44)
One atom of each set of equivalent atoms:
Sc: 0.0000 0.0000 0.0000 (multiplicity 2)  6 P 2.61-2.62
Mn: 0.0000 0.5000 0.7420 (multiplicity 2)  6 P 2.28-2.41
P: 0.0000 0.0000 0.3877 (multiplicity 2)  2 Mn 2.28
P: 0.0000 0.5000 0.1674 (multiplicity 2)  4 Mn 2.41, 2 Sc 2.62

***

Of them, run two has the highest stability.

***

Run one
This record from Alexandria describes an optimized crystal structure of ScMnP2. The functional is PBE.

abc: 3.4127 3.7785 4.6740
angles: 90.00 90.00 90.00
With the nearest neighbours (Å) after each atom.
Space group Pmmm (No. 47)
One atom of each set of equivalent atoms:
Sc: 0.0000 0.0000 0.0000 (multiplicity 1)  8 P 2.78, 4 Mn 2.89
Mn: 0.5000 0.0000 0.5000 (multiplicity 1)  4 P 2.25
P: 0.5000 0.5000 0.2385 (multiplicity 2)  2 P 2.23-2.44, 2 Mn 2.25

***

Run two
This record from Alexandria describes an optimized crystal structure of ScMnP2. The functional is PBE.

abc: 6.0569 6.0569 6.0569
angles: 90.00 90.00 90.00
With the nearest neighbours (Å) after each atom.
Space group F-43m (No. 216)
One atom of each set of equivalent atoms:
Sc: 0.0000 0.0000 0.0000 (multiplicity 4)  4 Mn 2.62, 4 P 2.62
Mn: 0.2500 0.2500 0.7500 (multiplicity 4)  4 Sc 2.62, 4 P 2.62
P: 0.0000 0.0000 0.5000 (multiplicity 4)  4 Mn 2.62, 4 P 2.62
P: 0.2500 0.2500 0.2500 (multiplicity 4)  4 Sc 2.62, 4 P 2.62

***

Run three
This record from Alexandria describes an optimized crystal structure of ScMnP2. The functional is PBE.

abc: 3.6969 3.5005 10.3322
angles: 90.00 90.00 90.00
With the nearest neighbours (Å) after each atom.
Space group Amm2 (No. 38)
One atom of each set of equivalent atoms:
Sc: 0.0000 0.0000 0.0000 (multiplicity 2)  5 P 2.56-2.83
Mn: 0.5000 0.0000 0.2533 (multiplicity 2)  5 P 2.30-2.56
P: 0.0000 0.0000 0.7261 (multiplicity 2)  4 Mn 2.56, 1 Sc 2.83
P: 0.5000 0.0000 0.4760 (multiplicity 2)  1 Mn 2.30, 4 Sc 2.56

***

Run four
This record from Alexandria describes an optimized crystal structure of ScMnP2. The functional is PBE.

abc: 3.5999 3.5999 16.5640
angles: 90.00 90.00 120.00
With the nearest neighbours (Å) after each atom.
Space group R-3m (No. 166, hexagonal axes)
One atom of each set of equivalent atoms:
Sc: 0.0000 0.0000 0.0000 (multiplicity 3)  6 P 2.62
Mn: 0.0000 0.0000 0.5000 (multiplicity 3)  6 P 2.38
P: 0.0000 0.0000 0.2368 (multiplicity 6)  3 Mn 2.38, 3 Sc 2.62

***

Of them, run four has the highest stability.

***

Run one
This record from Alexandria describes an optimized crystal structure of ScMnP2. The functional is PBE.

abc: 3.7453 5.1588 6.1371
angles: 90.00 90.00 90.00
With the nearest neighbours (Å) after each atom.
Space group Immm (No. 71)
One atom of each set of equivalent atoms:
Sc: 0.0000 0.0000 0.0000 (multiplicity 2)  8 P 2.62-2.86
Mn: 0.0000 0.0000 0.5000 (multiplicity 2)  4 P 2.24
P: 0.0000 0.5000 0.2011 (multiplicity 4)  2 Mn 2.24, 1 P 2.47

***

Run two
This record from Alexandria describes an optimized crystal structure of ScMnP2. The functional is PBE.

abc: 6.0645 6.0645 6.0645
angles: 90.00 90.00 90.00
With the nearest neighbours (Å) after each atom.
Space group Fm-3m (No. 225)
One atom of each set of equivalent atoms:
Sc: 0.0000 0.0000 0.0000 (multiplicity 4)  8 P 2.63
Mn: 0.0000 0.0000 0.5000 (multiplicity 4)  8 P 2.63
P: 0.2500 0.2500 0.2500 (multiplicity 8)  4 Mn 2.63, 4 Sc 2.63

***

Run three
This record from Alexandria describes an optimized crystal structure of ScMnP2. The functional is PBE.

abc: 5.7838 6.5402 3.3480
angles: 90.00 99.82 90.00
With the nearest neighbours (Å) after each atom.
Space group C2/m (No. 12)
One atom of each set of equivalent atoms:
Sc: 0.0000 0.0000 0.0000 (multiplicity 2)  8 P 2.60-2.90, 2 Mn 2.89
Mn: 0.0000 0.5000 0.0000 (multiplicity 2)  8 P 2.60-2.90, 2 Sc 2.89
P: 0.2500 0.2500 0.5000 (multiplicity 4)  4 Mn 2.60-2.90, 4 Sc 2.60-2.90, 2 P 2.89

***

Of them, run one has the highest stability.

***

Run one
This record from Alexandria describes an optimized crystal structure of ScMnP2. The functional is PBE.

abc: 3.6461 3.6461 5.1653
angles: 90.00 90.00 90.00
With the nearest neighbours (Å) after each atom.
Space group P4/mmm (No. 123)
One atom of each set of equivalent atoms:
Sc: 0.0000 0.0000 0.0000 (multiplicity 1)  6 P 2.58
Mn: 0.5000 0.5000 0.5000 (multiplicity 1)  6 P 2.58
P: 0.0000 0.0000 0.5000 (multiplicity 1)  4 Mn 2.58, 2 Sc 2.58
P: 0.5000 0.5000 0.0000 (multiplicity 1)  4 Sc 2.58, 2 Mn 2.58

***

Run two
This record from Alexandria describes an optimized crystal structure of ScMnP2. The functional is PBE.

abc: 3.0703 3.0703 22.6614
angles: 90.00 90.00 120.00
With the nearest neighbours (Å) after each atom.
Space group R3m (No. 160, hexagonal axes)
One atom of each set of equivalent atoms:
Sc: 0.0000 0.0000 0.0000 (multiplicity 3)  3 P 2.74, 3 Mn 2.79
Mn: 0.0000 0.0000 0.7616 (multiplicity 3)  3 P 2.28
P: 0.0000 0.0000 0.2412 (multiplicity 3)  3 P 2.58, 3 Sc 2.74
P: 0.0000 0.0000 0.4916 (multiplicity 3)  3 Mn 2.28

***

Of them, run one has the highest stability.

***

Run one
This record from Alexandria describes an optimized crystal structure of MnSiP. The functional is PBE.

abc: 5.5055 5.5055 5.5055
angles: 90.00 90.00 90.00
With the nearest neighbours (Å) after each atom.
Space group F-43m (No. 216)
One atom of each set of equivalent atoms:
Mn: 0.0000 0.0000 0.0000 (multiplicity 4)  4 P 2.38
Si: 0.0000 0.0000 0.5000 (multiplicity 4)  4 P 2.38
P: 0.2500 0.2500 0.2500 (multiplicity 4)  4 Mn 2.38, 4 Si 2.38

***

Run two
This record from Alexandria describes an optimized crystal structure of MnSiP. The functional is PBE.

abc: 4.3679 4.3679 4.8324
angles: 90.00 90.00 120.00
With the nearest neighbours (Å) after each atom.
Space group P6_3/mmc (No. 194)
One atom of each set of equivalent atoms:
Mn: 0.3333 0.6667 0.2500 (multiplicity 2)  5 P 2.42-2.52
Si: 0.0000 0.0000 0.0000 (multiplicity 2)  2 Si 2.42
P: 0.3333 0.6667 0.7500 (multiplicity 2)  5 Mn 2.42-2.52

***

Of them, run two has the highest stability.

***

Run one
This record from Alexandria describes an optimized crystal structure of MnSiP. The functional is PBE.

abc: 5.4857 2.6878 10.3496
angles: 90.00 90.00 90.00
With the nearest neighbours (Å) after each atom.
Space group Pnma (No. 62)
One atom of each set of equivalent atoms:
Mn: 0.0423 0.2500 0.1124 (multiplicity 4)  3 P 2.22-2.25, 2 Si 2.45
Si: 0.1215 0.2500 0.6990 (multiplicity 4)  2 P 2.37-2.59, 4 Mn 2.45-2.53
P: 0.2271 0.7500 0.4359 (multiplicity 4)  3 Mn 2.22-2.25, 1 Si 2.37

***

Run two
This record from Alexandria describes an optimized crystal structure of MnSiP. The functional is PBE.

abc: 5.0089 5.8776 5.8195
angles: 90.00 112.50 90.00
With the nearest neighbours (Å) after each atom.
Space group P2_1/c (No. 14)
One atom of each set of equivalent atoms:
Mn: 0.2323 0.0389 0.0277 (multiplicity 4)  3 P 2.26-2.32, 1 Mn 2.27, 3 Si 2.33-2.48
Si: 0.1480 0.6722 0.8623 (multiplicity 4)  3 Mn 2.33-2.48, 2 P 2.37-2.44
P: 0.3502 0.0959 0.6862 (multiplicity 4)  3 Mn 2.26-2.32, 2 Si 2.37-2.44

***

Run three
This record from Alexandria describes an optimized crystal structure of MnSiP. The functional is PBE.

abc: 6.2845 6.2845 3.1935
angles: 90.00 90.00 120.00
With the nearest neighbours (Å) after each atom.
Space group P-62m (No. 189)
One atom of each set of equivalent atoms:
Mn: 0.0000 0.2551 0.0000 (multiplicity 3)  4 P 2.26-2.38
Si: 0.0000 0.6150 0.5000 (multiplicity 3)  5 P 2.42-2.52, 4 Mn 2.66
P: 0.0000 0.0000 0.5000 (multiplicity 1)  6 Mn 2.26, 3 Si 2.42
P: 0.3333 0.6667 0.0000 (multiplicity 2)  3 Mn 2.38, 6 Si 2.52

***

Of them, run one has the highest stability.